HfPd2F PBE relaxed; ΔE to the lowest computed polymorph = 162.3 meV/atom; calculated density = 10.73 g/cm³; final energy = -24.9 eV for the cell shown
1.0
3.4059 1.0335 2.7177
-0.4760 -0.3929 4.4354
2.1665 -3.2392 2.2062
Hf Pd F
1 2 1
Cartesian
2.5482 -1.2993 4.6796
1.2741 -0.6497 2.3398
3.8223 -1.9490 7.0195
0.0000 0.0000 0.0000